The following is a DFT calculation (GGA+U) of a relaxed NbMoO4 crystal.

```
6
Lattice="4.8541 -0.0084 0.0000 -0.0825 4.8534 0.0000 0.0000 0.0000 3.2021" Properties=species:S:1:pos:R:3 pbc="T T T"
Nb 2.3858 2.4225 1.6010
O 1.4675 3.3268 0.0000
O 3.7798 3.8379 1.6010
Mo 0.0000 0.0000 0.0000
O 0.9918 1.0070 1.6010
O 3.3040 1.5182 0.0000
```

Computed properties:
E_tot = -8.33 eV per atom
Density = 5.6 g cm⁻³
SG = Cmmm, No. 65